#a
Below is an optimized crystal structure of PmSi2Ag, with properties calculated at the GGA-PBE level.

Lattice parameters (Å, degrees): 3.8270 6.0408 7.6405 90.00 90.00 90.00
Space group Amm2 (No. 38)
Inequivalent atoms, fractional coordinates:
Pm: 0.0000 0.0000 0.0000
Si: 0.5000 0.1880 0.7052
Ag: 0.5000 0.0000 0.4082

Crystal system   orthorhombic
ρ   5.81 Mg/m³
Calculated volume   22.08 Å³ per atom

***

#b
Below is an optimized crystal structure of PmSi2Ag, with properties calculated at the GGA-PBE level.

Lattice parameters (Å, degrees): 5.0657 5.0657 11.0629 90.00 90.00 120.00
Space group R-3m (No. 166, hexagonal axes)
Inequivalent atoms, fractional coordinates:
Pm: 0.0000 0.0000 0.0000
Si: 0.0000 0.0000 0.2657
Ag: 0.0000 0.0000 0.5000

Crystal system   trigonal
ρ   6.26 Mg/m³
Calculated volume   20.49 Å³ per atom

***

Which of them is the most stable, and which is the least stable? #a and #b, in that order.

***

#a
Below is an optimized crystal structure of PmSi2Ag, with properties calculated at the GGA-PBE level.

Lattice parameters (Å, degrees): 13.7095 4.2218 10.9243 90.00 90.00 90.00
Space group Pnma (No. 62)
Inequivalent atoms, fractional coordinates:
Pm: 0.0533 0.2500 0.2420
Pm: 0.1960 0.7500 0.9655
Si: 0.0291 0.2500 0.9650
Si: 0.1099 0.2500 0.7778
Si: 0.1312 0.7500 0.4484
Si: 0.2142 0.7500 0.2630
Ag: 0.0601 0.2500 0.5532
Ag: 0.2038 0.7500 0.6658

Crystal system   orthorhombic
ρ   6.49 Mg/m³
Calculated volume   19.76 Å³ per atom

***

#b
Below is an optimized crystal structure of PmSi2Ag, with properties calculated at the GGA-PBE level.

Lattice parameters (Å, degrees): 4.3822 4.3822 4.1237 90.00 90.00 90.00
Space group P4/mmm (No. 123)
Inequivalent atoms, fractional coordinates:
Pm: 0.0000 0.0000 0.0000
Si: 0.0000 0.5000 0.5000
Ag: 0.5000 0.5000 0.0000

Crystal system   tetragonal
ρ   6.48 Mg/m³
Calculated volume   19.80 Å³ per atom

***

Which of them is the most stable, and which is the least stable? #a and #b, in that order.